Record 1
Entry from the Alexandria database: crystalline LaCo2GeBr at its relaxed geometry (PBE-GGA).

Lattice parameters (Å, degrees): 4.4249 5.5033 4.4249 90.00 90.00 90.00
Closest atoms and distances in Å follow each position.
Fractional positions:
Co: 0.5000 0.0000 0.0000  2 Br 2.21
Co: 0.0000 0.0000 0.5000  2 Br 2.21
Ge: 0.0000 0.5000 0.0000  2 Br 2.75
La: 0.5000 0.5000 0.5000  4 Ge 3.13
Br: 0.0000 0.0000 0.0000  4 Co 2.21

The density of states at the Fermi level is 7.7 states/eV/f.u. The value obtained for the formation energy from raw total energies is 0.54 eV per atom. As for the volume: 108 Å³/f.u. The space group is P4/mmm (123).

---

Record 2
Entry from the Alexandria database: crystalline Nd4CoGeBr2 at its relaxed geometry (PBE-GGA).

Lattice parameters (Å, degrees): 4.0973 7.4665 7.8617 106.83 90.00 90.00
Closest atoms and distances in Å follow each position.
Fractional positions:
Nd: 0.5000 0.7843 0.8043  2 Co 2.78, 1 Ge 2.96
Nd: 0.5000 0.2157 0.1957  2 Co 2.78, 1 Ge 2.96
Nd: 0.0000 0.2450 0.7979  1 Co 2.75, 2 Ge 2.93
Nd: 0.0000 0.7550 0.2021  1 Co 2.75, 2 Ge 2.93
Co: 0.0000 0.0000 0.0000  6 Nd 2.75-2.78
Br: 0.5000 0.0000 0.5000  6 Nd 3.25
Br: 0.0000 0.5000 0.5000  6 Nd 3.39-3.42
Ge: 0.5000 0.5000 0.0000  6 Nd 2.93-2.96

The density of states at the Fermi level is 6.4 states/eV/f.u. The value obtained for the formation energy from raw total energies is -0.89 eV per atom. As for the volume: 230 Å³/f.u. The space group is P2/m (10).

---

Record 3
Entry from the Alexandria database: crystalline Nd8CoGe3Br4 at its relaxed geometry (PBE-GGA).

Lattice parameters (Å, degrees): 8.5374 8.8313 8.5479 118.98 119.96 90.00
Closest atoms and distances in Å follow each position.
Fractional positions:
Nd: 0.7551 0.7049 0.9799  1 Co 2.76, 2 Ge 2.95
Nd: 0.2449 0.2951 0.0201  1 Co 2.76, 2 Ge 2.95
Nd: 0.7752 0.2951 0.0201  1 Co 2.76, 2 Ge 2.95
Nd: 0.7728 0.2929 0.5455  1 Co 2.79, 2 Ge 2.95
Nd: 0.2608 0.2822 0.5215  3 Ge 2.94, 3 Br 3.22
Nd: 0.2248 0.7049 0.9799  1 Co 2.76, 2 Ge 2.95
Nd: 0.2272 0.7071 0.4545  1 Co 2.79, 2 Ge 2.95
Nd: 0.7392 0.7178 0.4785  3 Ge 2.94, 3 Br 3.22
Ge: 0.5000 0.5000 0.0000  6 Nd 2.94-2.95
Ge: 0.5000 0.5000 0.5000  6 Nd 2.94-2.95
Ge: 0.0000 0.5000 0.5000  6 Nd 2.94-2.95
Co: 0.0000 0.5000 0.0000  6 Nd 2.76-2.79
Br: 0.5000 0.0000 0.5000  6 Nd 3.22-3.23
Br: 0.0000 0.0000 0.5000  6 Nd 3.22-3.23
Br: 0.5000 0.0000 0.0000  6 Nd 3.37-3.39
Br: 0.0000 0.0000 0.0000  6 Nd 3.22-3.23

The density of states at the Fermi level is 12.6 states/eV/f.u. The value obtained for the formation energy from raw total energies is -1.01 eV per atom. As for the volume: 463 Å³/f.u. The space group is C2/m (12).

---

Record 4
Entry from the Alexandria database: crystalline Nd6Co2GeBr3 at its relaxed geometry (PBE-GGA).

Lattice parameters (Å, degrees): 4.1042 9.0835 9.8653 109.25 102.01 90.00
Closest atoms and distances in Å follow each position.
Fractional positions:
Nd: 0.3197 0.4415 0.6395  3 Co 2.71-2.79
Nd: 0.9770 0.7568 0.9540  1 Co 2.68, 2 Ge 2.94
Nd: 0.0230 0.2432 0.0460  1 Co 2.68, 2 Ge 2.94
Nd: 0.3370 0.8669 0.6740  2 Co 2.78, 1 Ge 2.97
Nd: 0.6630 0.1331 0.3260  2 Co 2.78, 1 Ge 2.97
Nd: 0.6803 0.5585 0.3605  3 Co 2.71-2.79
Br: 0.1612 0.8419 0.3223  6 Nd 3.32-3.41
Br: 0.8388 0.1581 0.6777  6 Nd 3.32-3.41
Br: 0.5000 0.5000 0.0000  6 Nd 3.25-3.34
Co: 0.1707 0.3442 0.3413  6 Nd 2.68-2.79
Co: 0.8293 0.6558 0.6587  6 Nd 2.68-2.79
Ge: 0.5000 0.0000 0.0000  6 Nd 2.94-2.97

The density of states at the Fermi level is 5.0 states/eV/f.u. The value obtained for the formation energy from raw total energies is -0.85 eV per atom. As for the volume: 339 Å³/f.u. The space group is C2/m (12).